Arrangement a

First-principles (PBE) data for crystalline LiMgPd4 at its relaxed geometry, as listed in Alexandria via LeMat-Bulk.

Lattice parameters (Å, degrees): 3.841 4.855 6.274 105.55 72.17 66.69
Positions (direct):
Li1 0.000 0.000 0.000
Mg1 0.500 0.500 0.500
Pd1 0.830 0.505 0.835
Pd2 0.334 0.004 0.328
Pd3 0.170 0.495 0.165
Pd4 0.666 0.996 0.672

=====

Arrangement b

First-principles (PBE) data for crystalline LiMgPd4 at its relaxed geometry, as listed in Alexandria via LeMat-Bulk.

Lattice parameters (Å, degrees): 2.828 7.923 8.118 90.00 100.03 90.00
Positions (direct):
Li1 0.241 0.750 0.482
Li2 0.759 0.250 0.518
Mg1 0.422 0.750 0.844
Mg2 0.578 0.250 0.156
Pd1 0.173 0.472 0.346
Pd2 0.827 0.528 0.654
Pd3 0.173 0.028 0.346
Pd4 0.827 0.972 0.654
Pd5 0.594 0.750 0.188
Pd6 0.406 0.250 0.812
Pd7 0.000 0.500 0.000
Pd8 0.000 0.000 0.000

=====

Stability ranking, top entry: arrangement b; the second entry is 0.007 eV/atom less favorable.

=====

Arrangement a

First-principles (PBE) data for crystalline LiMgPd at its relaxed geometry, as listed in Alexandria via LeMat-Bulk.

Lattice parameters (Å, degrees): 4.808 4.810 4.959 98.26 98.39 119.02
Positions (direct):
Li1 0.427 0.074 0.750
Li2 0.573 0.926 0.250
Mg1 0.894 0.605 0.250
Mg2 0.106 0.395 0.750
Pd1 0.238 0.261 0.250
Pd2 0.762 0.739 0.750

=====

Arrangement b

First-principles (PBE) data for crystalline LiMgPd at its relaxed geometry, as listed in Alexandria via LeMat-Bulk.

Lattice parameters (Å, degrees): 4.461 4.461 5.574 90.00 90.00 120.00
Positions (direct):
Li1 0.333 0.667 0.556
Li2 0.667 0.333 0.723
Mg1 0.000 0.000 0.375
Mg2 0.333 0.667 0.041
Pd1 0.000 0.000 0.873
Pd2 0.667 0.333 0.213

=====

Arrangement c

First-principles (PBE) data for crystalline LiMgPd at its relaxed geometry, as listed in Alexandria via LeMat-Bulk.

Lattice parameters (Å, degrees): 3.302 3.302 4.985 109.34 109.34 90.00
Positions (direct):
Mg1 0.293 0.293 0.585
Pd1 0.955 0.955 0.910
Li1 0.602 0.602 0.205

=====

Arrangement d

First-principles (PBE) data for crystalline LiMgPd at its relaxed geometry, as listed in Alexandria via LeMat-Bulk.

Lattice parameters (Å, degrees): 2.948 7.522 5.804 121.87 104.71 90.00
Positions (direct):
Pd1 0.646 0.021 0.292
Pd2 0.354 0.979 0.708
Mg1 0.083 0.265 0.166
Mg2 0.917 0.735 0.834
Li1 0.641 0.677 0.281
Li2 0.359 0.323 0.719

=====

Stability ranking, top entry: arrangement b; the second entry is 0.013 eV/atom less favorable.

=====

Arrangement a

First-principles (PBE) data for crystalline LiMgPd at its relaxed geometry, as listed in Alexandria via LeMat-Bulk.

Lattice parameters (Å, degrees): 3.066 3.069 11.565 105.81 105.80 89.91
Positions (direct):
Li1 0.273 0.676 0.325
Li2 0.945 0.348 0.504
Mg1 0.975 0.379 0.031
Mg2 0.650 0.052 0.710
Pd1 0.310 0.713 0.868
Pd2 0.635 0.038 0.188

=====

Arrangement b

First-principles (PBE) data for crystalline LiMgPd at its relaxed geometry, as listed in Alexandria via LeMat-Bulk.

Lattice parameters (Å, degrees): 4.532 4.532 5.412 90.00 90.00 120.00
Positions (direct):
Li1 0.000 0.000 0.500
Li2 0.000 0.000 0.000
Mg1 0.333 0.667 0.314
Mg2 0.667 0.333 0.686
Pd1 0.333 0.667 0.821
Pd2 0.667 0.333 0.179

=====

Stability ranking, top entry: arrangement b; the second entry is 0.030 eV/atom less favorable.

=====

Arrangement a

First-principles (PBE) data for crystalline Li3Mg2Pd3 at its relaxed geometry, as listed in Alexandria via LeMat-Bulk.

Lattice parameters (Å, degrees): 4.427 4.427 7.689 73.27 73.27 60.00
Positions (direct):
Li1 0.247 0.247 0.258
Li2 0.753 0.753 0.741
Li3 0.624 0.624 0.128
Mg1 0.003 0.003 0.991
Mg2 0.497 0.497 0.509
Pd1 0.126 0.126 0.623
Pd2 0.876 0.876 0.371
Pd3 0.374 0.374 0.879

=====

Arrangement b

First-principles (PBE) data for crystalline Li3Mg2Pd3 at its relaxed geometry, as listed in Alexandria via LeMat-Bulk.

Lattice parameters (Å, degrees): 4.383 4.639 6.915 109.53 108.48 90.00
Positions (direct):
Li1 0.614 0.114 0.228
Li2 0.500 0.500 0.000
Li3 0.386 0.886 0.772
Mg1 0.243 0.243 0.486
Mg2 0.757 0.757 0.514
Pd1 0.124 0.624 0.248
Pd2 0.876 0.376 0.752
Pd3 0.000 0.000 0.000

=====

Stability ranking, top entry: arrangement a; the second entry is 0.045 eV/atom less favorable.

=====

Arrangement a

First-principles (PBE) data for crystalline Li6MgPd2 at its relaxed geometry, as listed in Alexandria via LeMat-Bulk.

Lattice parameters (Å, degrees): 2.982 7.250 7.759 62.15 85.71 80.80
Positions (direct):
Li1 0.164 0.851 0.654
Li2 0.836 0.149 0.346
Li3 0.339 0.336 0.000
Li4 0.164 0.505 0.346
Li5 0.836 0.495 0.654
Li6 0.661 0.664 0.000
Mg1 0.000 0.000 0.000
Pd1 0.500 0.838 0.324
Pd2 0.500 0.162 0.676

=====

Arrangement b

First-principles (PBE) data for crystalline Li6MgPd2 at its relaxed geometry, as listed in Alexandria via LeMat-Bulk.

Lattice parameters (Å, degrees): 2.735 8.190 8.190 56.59 70.91 70.91
Positions (direct):
Li1 0.157 0.000 0.348
Li2 0.841 0.000 0.652
Li3 0.841 0.652 0.000
Li4 0.502 0.348 0.652
Li5 0.502 0.652 0.348
Li6 0.157 0.348 0.000
Mg1 0.000 0.000 0.000
Pd1 0.333 0.333 0.333
Pd2 0.667 0.667 0.667

=====

Stability ranking, top entry: arrangement a; the second entry is 0.029 eV/atom less favorable.

=====

Arrangement a

First-principles (PBE) data for crystalline Li3MgPd2 at its relaxed geometry, as listed in Alexandria via LeMat-Bulk.

Lattice parameters (Å, degrees): 3.802 2.917 8.231 90.03 90.00 90.00
Positions (direct):
Li1 0.750 0.501 0.409
Li2 0.750 0.500 0.105
Li3 0.250 0.000 0.578
Mg1 0.250 0.000 0.910
Pd1 0.250 0.000 0.247
Pd2 0.750 0.499 0.751

=====

Arrangement b

First-principles (PBE) data for crystalline Li3MgPd2 at its relaxed geometry, as listed in Alexandria via LeMat-Bulk.

Lattice parameters (Å, degrees): 4.137 8.085 7.121 124.59 106.89 90.00
Positions (direct):
Li1 0.500 0.250 0.000
Li2 0.500 0.750 0.000
Li3 0.816 0.066 0.633
Li4 0.184 0.434 0.367
Li5 0.184 0.934 0.367
Li6 0.816 0.566 0.633
Mg1 0.000 0.500 0.000
Mg2 0.000 0.000 0.000
Pd1 0.341 0.341 0.681
Pd2 0.659 0.159 0.319
Pd3 0.341 0.841 0.681
Pd4 0.659 0.659 0.319

=====

Stability ranking, top entry: arrangement a; the second entry is 0.038 eV/atom less favorable.

=====

Arrangement a

First-principles (PBE) data for crystalline LiMgPd6 at its relaxed geometry, as listed in Alexandria via LeMat-Bulk.

Lattice parameters (Å, degrees): 6.885 7.409 5.065 42.72 47.14 57.25
Positions (direct):
Li1 0.500 0.500 0.500
Mg1 0.000 0.000 0.000
Pd1 0.947 0.459 0.845
Pd2 0.750 0.947 0.761
Pd3 0.456 0.250 0.349
Pd4 0.250 0.053 0.239
Pd5 0.053 0.541 0.155
Pd6 0.544 0.750 0.651

=====

Arrangement b

First-principles (PBE) data for crystalline LiMgPd6 at its relaxed geometry, as listed in Alexandria via LeMat-Bulk.

Lattice parameters (Å, degrees): 3.925 4.831 7.351 77.07 74.52 66.03
Positions (direct):
Li1 0.000 0.000 0.000
Mg1 0.000 0.500 0.500
Pd1 0.250 0.873 0.628
Pd2 0.501 0.245 0.753
Pd3 0.250 0.377 0.122
Pd4 0.499 0.755 0.247
Pd5 0.750 0.127 0.372
Pd6 0.750 0.623 0.878

=====

Stability ranking, top entry: arrangement b; the second entry is 0.110 eV/atom less favorable.

=====

Arrangement a

First-principles (PBE) data for crystalline Li3Mg3Pd2 at its relaxed geometry, as listed in Alexandria via LeMat-Bulk.

Lattice parameters (Å, degrees): 4.444 5.345 12.871 90.00 90.00 114.56
Positions (direct):
Li1 0.938 0.876 0.402
Li2 0.062 0.124 0.902
Li3 0.938 0.876 0.098
Li4 0.062 0.124 0.598
Li5 0.749 0.497 0.250
Li6 0.251 0.503 0.750
Mg1 0.651 0.302 0.465
Mg2 0.349 0.698 0.965
Mg3 0.651 0.302 0.035
Mg4 0.349 0.698 0.535
Mg5 0.465 0.929 0.250
Mg6 0.535 0.071 0.750
Pd1 0.795 0.589 0.856
Pd2 0.205 0.411 0.356
Pd3 0.795 0.589 0.644
Pd4 0.205 0.411 0.144

=====

Arrangement b

First-principles (PBE) data for crystalline Li3Mg3Pd2 at its relaxed geometry, as listed in Alexandria via LeMat-Bulk.

Lattice parameters (Å, degrees): 2.999 7.495 7.495 120.00 90.00 90.00
Positions (direct):
Li1 0.000 0.761 0.761
Li2 0.000 0.239 0.000
Li3 0.000 0.000 0.239
Mg1 0.500 0.415 0.415
Mg2 0.500 0.585 0.000
Mg3 0.500 0.000 0.585
Pd1 0.000 0.333 0.667
Pd2 0.000 0.667 0.333

=====

Stability ranking, top entry: arrangement b; the second entry is 0.047 eV/atom less favorable.